DFT (PBE with a Hubbard U) results for a geometry-optimized AlIn2FeO6 structure.

Values from the calculation:
Total magnetic moment ... 4.976 μB/cell
Symmetry ... R3, No. 146
E ... -63.19 eV per cell

Cell lengths 5.5434, 5.5434, 5.5434 Å; angles 56.86, 56.86, 56.86 degrees
Closest atoms and distances in Å follow each position.
Sites, in units of the cell vectors:
Al: 0.0000 0.0000 0.0000  6 O 1.91-2.01
In: 0.2868 0.2868 0.2868  6 O 2.14-2.28
In: 0.7830 0.7830 0.7830  6 O 2.14-2.30
Fe: 0.5035 0.5035 0.5035  6 O 1.99-2.15
O: 0.1217 0.3518 0.7319  1 Al 1.91
O: 0.2148 0.8673 0.6366  1 Fe 1.99, 1 Al 2.01, 1 In 2.14
O: 0.3518 0.7319 0.1217  1 Al 1.91
O: 0.6366 0.2148 0.8673  1 Fe 1.99, 1 Al 2.01, 1 In 2.14
O: 0.7319 0.1217 0.3518  1 Al 1.91
O: 0.8673 0.6366 0.2148  1 Fe 1.99, 1 Al 2.01, 1 In 2.14